A plane-wave DFT calculation with PBE with a Hubbard U was carried out for Ba2MoIr3O12 after structural relaxation.

The structure in POSCAR format:
```
Ba2MoIr3O12
1.0
3.539 2.043 6.049
-3.539 2.043 6.049
0.000 -4.086 6.049
Ba Mo Ir O
2 1 3 12
Cartesian
0.000 0.000 2.142 Ba
0.000 0.000 16.004 Ba
0.000 0.000 9.073 Mo
-1.769 -1.022 6.049 Ir
-1.769 1.022 12.097 Ir
0.000 2.043 6.048 Ir
0.000 -1.692 5.579 O
-1.465 0.846 5.579 O
-1.401 -0.809 8.004 O
-1.465 -0.846 12.567 O
0.000 -1.618 10.141 O
-1.401 0.809 10.141 O
1.401 -0.809 8.004 O
0.000 1.618 8.004 O
1.465 0.846 5.579 O
1.401 0.809 10.141 O
1.465 -0.846 12.567 O
0.000 1.692 12.567 O
```

Properties
E_tot: -6.7846 eV/atom
total magnetic moment: 0.00 μB/cell
symmetry: No. 166

=====

A plane-wave DFT calculation with PBE with a Hubbard U was carried out for BaMoIrO6 after structural relaxation.

The structure in POSCAR format:
```
BaMoIrO6
1.0
5.398 0.000 0.000
-2.699 4.675 0.000
0.000 0.000 5.669
Ba Mo Ir O
1 1 1 6
Cartesian
0.000 0.000 0.000 Ba
0.000 3.117 2.834 Mo
2.699 1.558 2.834 Ir
-1.018 1.827 3.911 O
-1.626 2.881 1.758 O
1.018 1.827 1.758 O
-0.609 4.643 3.911 O
1.626 2.881 3.911 O
0.609 4.643 1.758 O
```

Properties
E_tot: -6.9008 eV/atom
total magnetic moment: 1.05 μB/cell
symmetry: No. 149